[1]
This record from the Alexandria database describes an optimized crystal structure of Be2HPd. The functional is PBEsol.

```
Be2HPd
1.0
-1.716 -3.185 -0.992
2.023 -2.939 -1.157
0.296 -3.045 2.171
Be H Pd
2 1 1
direct
0.750 0.750 0.750
0.250 0.250 0.250
0.000 0.000 0.000
0.500 0.500 0.500
```

Output
The calculation puts the total magnetization at 0.0 μB/cell. The space group is No. 225. The total energy is -3.98 eV per atom.

[2]
This record from the Alexandria database describes an optimized crystal structure of BeHPdRu2. The functional is PBEsol.

```
BeHPdRu2
1.0
2.915 0.000 0.000
0.000 4.847 0.000
0.000 0.000 4.847
Pd Be Ru H
1 1 2 1
direct
0.000 0.000 0.000
0.500 0.500 0.500
0.000 0.000 0.500
0.000 0.500 0.000
0.500 0.000 0.000
```

Output
The calculation puts the total magnetization at 3.4 μB/cell. The space group is No. 123. The total energy is -5.36 eV per atom.